1.
First-principles (PBE-GGA) data for a relaxed ScPa3Ge4 crystal, as listed in Alexandria via LeMat-Bulk.

a b c (Å): 7.4521 7.4521 3.0602
angles (deg): 90.00 90.00 90.00
Last column: nearest neighbours and their distance in Å.
Fractional coordinates of all 8 atoms:
1 Sc 0.0000 0.0000 0.0000  8 Ge 3.00, 2 Sc 3.06
2 Pa 0.0000 0.5000 0.0000  8 Ge 3.05, 2 Pa 3.06
3 Pa 0.5000 0.0000 0.0000  8 Ge 3.05, 2 Pa 3.06
4 Pa 0.5000 0.5000 0.0000  2 Pa 3.06, 8 Ge 3.09
5 Ge 0.2452 0.2452 0.5000  2 Sc 3.00, 6 Pa 3.05-3.09, 2 Ge 3.06
6 Ge 0.2452 0.7548 0.5000  2 Sc 3.00, 6 Pa 3.05-3.09, 2 Ge 3.06
7 Ge 0.7548 0.2452 0.5000  2 Sc 3.00, 6 Pa 3.05-3.09, 2 Ge 3.06
8 Ge 0.7548 0.7548 0.5000  2 Sc 3.00, 6 Pa 3.05-3.09, 2 Ge 3.06

Summary:
**Raw total energy**: -56.95 eV per cell
**Spin magnetization**: 0.5 μB per cell
**D(E_F)**: 10.2 states/eV/cell
**ΔH_f (0 K)**: -0.46 eV per atom


2.
First-principles (PBE-GGA) data for a relaxed Rb2LaSBr6 crystal, as listed in Alexandria via LeMat-Bulk.

a b c (Å): 8.2739 8.2739 8.2739
angles (deg): 115.05 115.05 98.82
Last column: nearest neighbours and their distance in Å.
Fractional coordinates of all 10 atoms:
1 Rb 0.2500 0.7500 0.5000  12 Br 4.14-4.45
2 Rb 0.7500 0.2500 0.5000  12 Br 4.14-4.45
3 La 0.0000 0.0000 0.0000  6 Br 2.90-2.96
4 S 0.5000 0.5000 0.0000  2 Br 2.42
5 Br 0.2305 0.2305 0.4611  1 La 2.90
6 Br 0.2305 0.7695 0.0000  1 La 2.90
7 Br 0.2751 0.2751 0.0000  1 S 2.42
8 Br 0.7249 0.7249 0.0000  1 S 2.42
9 Br 0.7695 0.2305 0.0000  1 La 2.90
10 Br 0.7695 0.7695 0.5389  1 La 2.90

Summary:
**Raw total energy**: -33.64 eV per cell
**Formation energy without anion corrections**: -1.26 eV per atom
**Spin magnetization**: 1.0 μB per cell
**D(E_F)**: 10.8 states/eV/cell


3.
First-principles (PBE-GGA) data for a relaxed Sm8PPt3Br4 crystal, as listed in Alexandria via LeMat-Bulk.

a b c (Å): 8.9161 8.9161 8.9161
angles (deg): 56.17 56.17 56.17
Last column: nearest neighbours and their distance in Å.
Fractional coordinates of all 16 atoms:
1 Sm 0.2300 0.7355 0.7355  2 Pt 2.84, 1 P 2.87
2 Sm 0.2318 0.2318 0.2318  3 Pt 2.83
3 Sm 0.2645 0.2645 0.7700  2 Pt 2.84, 1 P 2.87
4 Sm 0.2645 0.7700 0.2645  2 Pt 2.84, 1 P 2.87
5 Sm 0.7355 0.2300 0.7355  2 Pt 2.84, 1 P 2.87
6 Sm 0.7355 0.7355 0.2300  2 Pt 2.84, 1 P 2.87
7 Sm 0.7682 0.7682 0.7682  3 Pt 2.83
8 Sm 0.7700 0.2645 0.2645  2 Pt 2.84, 1 P 2.87
9 P 0.5000 0.5000 0.5000  6 Sm 2.87
10 Pt 0.0000 0.0000 0.5000  6 Sm 2.83-2.84
11 Pt 0.0000 0.5000 0.0000  6 Sm 2.83-2.84
12 Pt 0.5000 0.0000 0.0000  6 Sm 2.83-2.84
13 Br 0.0000 0.0000 0.0000  6 Sm 3.28
14 Br 0.0000 0.5000 0.5000  6 Sm 3.31-3.33
15 Br 0.5000 0.0000 0.5000  6 Sm 3.31-3.33
16 Br 0.5000 0.5000 0.0000  6 Sm 3.31-3.33

Summary:
**Raw total energy**: -88.16 eV per cell
**Formation energy without anion corrections**: -1.26 eV per atom
**Spin magnetization**: 0.0 μB per cell
**D(E_F)**: 10.6 states/eV/cell